! KInFe2 SCAN PBEsol geometry; values from VASP
! * DFT formation energy: 3.9 eV/f.u.
! * DFT total energy: -18.529 eV per atom
&SYSTEM
  ibrav = 0, nat = 4, ntyp = 3
/
ATOMIC_SPECIES
Fe 55.84 Fe.upf
K 39.10 K.upf
In 114.82 In.upf
CELL_PARAMETERS angstrom
2.845 0.000 0.000
0.000 4.900 0.000
0.000 0.000 5.317
ATOMIC_POSITIONS angstrom
Fe 0.000 0.000 0.000
K 0.000 2.450 2.658
Fe 1.422 0.000 2.658
In 1.422 2.450 0.000